#1
Density functional theory data (PBE-GGA) for an optimized crystal structure of Cs3Tl3As2.

abc: 10.1765 17.7269 7.5333
angles: 90.00 90.00 90.00
Sites, in units of the cell vectors:
1 Cs 0.0540 0.1079 0.0539
2 Cs 0.0540 0.3921 0.0539
3 Cs 0.2231 0.2500 0.6286
4 Cs 0.2769 0.7500 0.1286
5 Cs 0.4460 0.6079 0.5539
6 Cs 0.4460 0.8921 0.5539
7 Cs 0.5540 0.1079 0.4461
8 Cs 0.5540 0.3921 0.4461
9 Cs 0.7231 0.2500 0.8714
10 Cs 0.7769 0.7500 0.3714
11 Cs 0.9460 0.6079 0.9461
12 Cs 0.9460 0.8921 0.9461
13 Tl 0.1175 0.7500 0.6388
14 Tl 0.1669 0.0317 0.5145
15 Tl 0.1669 0.4683 0.5145
16 Tl 0.3331 0.5317 0.0145
17 Tl 0.3331 0.9683 0.0145
18 Tl 0.3825 0.2500 0.1388
19 Tl 0.6175 0.7500 0.8612
20 Tl 0.6669 0.0317 0.9855
21 Tl 0.6669 0.4683 0.9855
22 Tl 0.8331 0.5317 0.4855
23 Tl 0.8331 0.9683 0.4855
24 Tl 0.8825 0.2500 0.3612
25 As 0.0713 0.6189 0.4269
26 As 0.0713 0.8811 0.4269
27 As 0.4287 0.1189 0.9269
28 As 0.4287 0.3811 0.9269
29 As 0.5713 0.6189 0.0731
30 As 0.5713 0.8811 0.0731
31 As 0.9287 0.1189 0.5731
32 As 0.9287 0.3811 0.5731

space-group type = Pnma, No. 62

=====

#2
Density functional theory data (PBE-GGA) for an optimized crystal structure of Cs3Tl3As2.

abc: 7.6153 7.6153 17.6847
angles: 90.00 90.00 141.48
Sites, in units of the cell vectors:
1 Cs 0.0602 0.9398 0.6018
2 Cs 0.0602 0.9398 0.8982
3 Cs 0.3691 0.6309 0.7500
4 Cs 0.6309 0.3691 0.2500
5 Cs 0.9398 0.0602 0.1018
6 Cs 0.9398 0.0602 0.3982
7 Tl 0.3407 0.6593 0.5349
8 Tl 0.3407 0.6593 0.9651
9 Tl 0.3442 0.6558 0.2500
10 Tl 0.6558 0.3442 0.7500
11 Tl 0.6593 0.3407 0.0349
12 Tl 0.6593 0.3407 0.4651
13 As 0.2297 0.7703 0.1144
14 As 0.2297 0.7703 0.3856
15 As 0.7703 0.2297 0.6144
16 As 0.7703 0.2297 0.8856

space-group type = Cmcm, No. 63

=====

Last place for stability: #1

=====

#1
Density functional theory data (PBE-GGA) for an optimized crystal structure of Cs3TlAs2.

abc: 9.8528 9.8528 9.8528
angles: 127.96 71.16 135.06
Sites, in units of the cell vectors:
1 Cs 0.1776 0.7007 0.8783
2 Cs 0.2500 0.2500 0.0000
3 Cs 0.3224 0.2007 0.5231
4 Cs 0.6776 0.7993 0.4769
5 Cs 0.7500 0.7500 0.0000
6 Cs 0.8224 0.2993 0.1217
7 Tl 0.2500 0.7500 0.5000
8 Tl 0.7500 0.2500 0.5000
9 As 0.0929 0.3185 0.4114
10 As 0.4071 0.8185 0.2256
11 As 0.5929 0.1815 0.7744
12 As 0.9071 0.6815 0.5886

space-group type = Ibam, No. 72

=====

#2
Density functional theory data (PBE-GGA) for an optimized crystal structure of Cs3TlAs2.

abc: 10.3928 10.3928 12.7856
angles: 114.19 114.19 27.48
Sites, in units of the cell vectors:
1 Cs 0.0524 0.0524 0.2436
2 Cs 0.2111 0.2111 0.6068
3 Cs 0.3352 0.3352 0.9925
4 Cs 0.6648 0.6648 0.0075
5 Cs 0.7889 0.7889 0.3932
6 Cs 0.9476 0.9476 0.7564
7 Tl 0.4327 0.4327 0.3469
8 Tl 0.5673 0.5673 0.6531
9 As 0.1281 0.1281 0.7963
10 As 0.4125 0.4125 0.5519
11 As 0.5875 0.5875 0.4481
12 As 0.8719 0.8719 0.2037

space-group type = C2/m, No. 12

=====

Last place for stability: #2